# 1
This record from Alexandria via LeMat-Bulk describes a relaxed Na3Tl2Se4 crystal. The functional is GGA-PBE.

## Properties
- Excess energy over the best structure of this formula in the dataset: 0.0 meV/atom
- Energy relative to the elements, uncorrected: -0.62 eV per atom
- Symmetry: No. 2
- Total moment: 0.00 μB/f.u.

Lattice parameters (Å, degrees): 5.612 5.724 8.884 107.66 107.83 90.91
Atoms (fractional coordinates):
Na (0.000, 0.000, 0.000)
Na (0.358, 0.071, 0.722)
Na (0.642, 0.929, 0.278)
Tl (0.169, 0.610, 0.340)
Tl (0.831, 0.390, 0.660)
Se (0.191, 0.138, 0.378)
Se (0.260, 0.513, 0.998)
Se (0.740, 0.487, 0.002)
Se (0.809, 0.862, 0.622)

***

# 2
This record from Alexandria via LeMat-Bulk describes a relaxed La2Pr3DyY6 crystal. The functional is GGA-PBE.

## Properties
- Symmetry: No. 12
- Total moment: 0.00 μB/f.u.

Lattice parameters (Å, degrees): 6.309 6.309 11.939 95.04 95.04 120.00
Atoms (fractional coordinates):
La (0.166, 0.834, 0.000)
La (0.834, 0.166, 0.000)
Pr (0.000, 0.000, 0.500)
Pr (0.333, 0.667, 0.500)
Pr (0.667, 0.333, 0.500)
Dy (0.500, 0.500, 0.000)
Y (0.084, 0.417, 0.750)
Y (0.251, 0.251, 0.250)
Y (0.417, 0.084, 0.750)
Y (0.583, 0.916, 0.250)
Y (0.749, 0.749, 0.750)
Y (0.916, 0.583, 0.250)

***

# 3
This record from Alexandria via LeMat-Bulk describes a relaxed HfPaNbV crystal. The functional is GGA-PBE.

## Properties
- Symmetry: No. 216
- Total moment: 0.06 μB/f.u.

Lattice parameters (Å, degrees): 4.811 4.811 4.811 60.00 60.00 60.00
Atoms (fractional coordinates):
Hf (0.000, 0.000, 0.000)
Pa (0.500, 0.500, 0.500)
Nb (0.250, 0.250, 0.250)
V (0.750, 0.750, 0.750)

***

# 4
This record from Alexandria via LeMat-Bulk describes a relaxed ZnCdRe2 crystal. The functional is GGA-PBE.

## Properties
- Excess energy over the best structure of this formula in the dataset: 586.4 meV/atom
- Symmetry: No. 122
- Total moment: 0.00 μB/f.u.

Lattice parameters (Å, degrees): 10.189 10.189 10.189 158.57 158.57 30.49
Atoms (fractional coordinates):
Zn (0.000, 0.000, 0.000)
Zn (0.750, 0.250, 0.500)
Cd (0.250, 0.750, 0.500)
Cd (0.500, 0.500, 0.000)
Re (0.078, 0.625, 0.953)
Re (0.375, 0.328, 0.453)
Re (0.672, 0.125, 0.047)
Re (0.875, 0.922, 0.547)

***

# 5
This record from Alexandria via LeMat-Bulk describes a relaxed NaLaCo3 crystal. The functional is GGA-PBE.

## Properties
- Excess energy over the best structure of this formula in the dataset: 0.0 meV/atom
- Symmetry: No. 221
- Total moment: 2.72 μB/f.u.

Lattice parameters (Å, degrees): 4.552 4.552 4.552 90.00 90.00 90.00
Atoms (fractional coordinates):
Na (0.000, 0.000, 0.000)
La (0.500, 0.500, 0.500)
Co (0.000, 0.000, 0.500)
Co (0.000, 0.500, 0.000)
Co (0.500, 0.000, 0.000)

***

# 6
This record from Alexandria via LeMat-Bulk describes a relaxed V4Cr2N crystal. The functional is GGA-PBE.

## Properties
- Energy relative to the elements, uncorrected: 0.12 eV per atom
- Symmetry: No. 139
- Total moment: 0.00 μB/f.u.

Lattice parameters (Å, degrees): 6.656 6.656 6.656 146.55 146.55 48.02
Atoms (fractional coordinates):
V (0.000, 0.500, 0.500)
V (0.175, 0.175, 0.000)
V (0.500, 0.000, 0.500)
V (0.825, 0.825, 0.000)
Cr (0.363, 0.363, 0.000)
Cr (0.637, 0.637, 0.000)
N (0.000, 0.000, 0.000)

***

# 7
This record from Alexandria via LeMat-Bulk describes a relaxed Sm3Y3TmSe8 crystal. The functional is GGA-PBE.

## Properties
- Energy relative to the elements, uncorrected: -1.85 eV per atom
- Symmetry: No. 166
- Total moment: 0.00 μB/f.u.

Lattice parameters (Å, degrees): 8.240 8.240 8.240 59.70 59.70 59.70
Atoms (fractional coordinates):
Sm (0.000, 0.500, 0.500)
Sm (0.500, 0.000, 0.500)
Sm (0.500, 0.500, 0.000)
Y (0.000, 0.000, 0.500)
Y (0.000, 0.500, 0.000)
Y (0.500, 0.000, 0.000)
Tm (0.500, 0.500, 0.500)
Se (0.247, 0.748, 0.748)
Se (0.248, 0.248, 0.248)
Se (0.252, 0.252, 0.753)
Se (0.252, 0.753, 0.252)
Se (0.748, 0.247, 0.748)
Se (0.748, 0.748, 0.247)
Se (0.752, 0.752, 0.752)
Se (0.753, 0.252, 0.252)

***

# 8
This record from Alexandria via LeMat-Bulk describes a relaxed LiZn8Au2 crystal. The functional is GGA-PBE.

## Properties
- Excess energy over the best structure of this formula in the dataset: 0.0 meV/atom
- Symmetry: No. 12
- Total moment: 0.00 μB/f.u.

Lattice parameters (Å, degrees): 7.075 7.075 6.546 109.91 109.91 33.76
Atoms (fractional coordinates):
Li (0.000, 0.000, 0.000)
Zn (0.088, 0.088, 0.457)
Zn (0.181, 0.181, 0.893)
Zn (0.378, 0.378, 0.814)
Zn (0.450, 0.450, 0.272)
Zn (0.550, 0.550, 0.728)
Zn (0.622, 0.622, 0.186)
Zn (0.819, 0.819, 0.107)
Zn (0.912, 0.912, 0.543)
Au (0.257, 0.257, 0.326)
Au (0.743, 0.743, 0.674)

***

# 9
This record from Alexandria via LeMat-Bulk describes a relaxed La6Ge2TeI3 crystal. The functional is GGA-PBE.

## Properties
- Energy relative to the elements, uncorrected: -1.18 eV per atom
- Symmetry: No. 12
- Total moment: 0.00 μB/f.u.

Lattice parameters (Å, degrees): 7.835 7.835 8.104 99.26 99.26 119.98
Atoms (fractional coordinates):
La (0.079, 0.430, 0.790)
La (0.218, 0.218, 0.206)
La (0.430, 0.079, 0.790)
La (0.570, 0.921, 0.210)
La (0.782, 0.782, 0.794)
La (0.921, 0.570, 0.210)
Ge (0.167, 0.833, 0.000)
Ge (0.833, 0.167, 0.000)
Te (0.500, 0.500, 0.000)
I (0.000, 0.000, 0.500)
I (0.338, 0.662, 0.500)
I (0.662, 0.338, 0.500)

***

# 10
This record from Alexandria via LeMat-Bulk describes a relaxed LiNiPd crystal. The functional is GGA-PBE.

## Properties
- Excess energy over the best structure of this formula in the dataset: 0.0 meV/atom
- Symmetry: No. 11
- Total moment: 0.00 μB/f.u.

Lattice parameters (Å, degrees): 2.983 2.985 8.893 90.00 90.07 90.00
Atoms (fractional coordinates):
Li (0.250, 0.250, 0.097)
Li (0.750, 0.750, 0.903)
Ni (0.250, 0.250, 0.434)
Ni (0.750, 0.750, 0.566)
Pd (0.250, 0.250, 0.741)
Pd (0.750, 0.750, 0.259)

***

# 11
This record from Alexandria via LeMat-Bulk describes a relaxed Nd2Pd4Au5 crystal. The functional is GGA-PBE.

## Properties
- Symmetry: No. 69
- Total moment: 0.00 μB/f.u.

Lattice parameters (Å, degrees): 10.234 9.554 5.357 81.44 67.39 31.18
Atoms (fractional coordinates):
Nd (0.134, 0.134, 0.866)
Nd (0.866, 0.866, 0.134)
Pd (0.210, 0.534, 0.466)
Pd (0.466, 0.790, 0.210)
Pd (0.534, 0.210, 0.790)
Pd (0.790, 0.466, 0.534)
Au (0.000, 0.000, 0.500)
Au (0.250, 0.250, 0.250)
Au (0.500, 0.500, 0.000)
Au (0.500, 0.500, 0.500)
Au (0.750, 0.750, 0.750)

***

# 12
This record from Alexandria via LeMat-Bulk describes a relaxed ZnAsRh2 crystal. The functional is GGA-PBE.

## Properties
- Excess energy over the best structure of this formula in the dataset: 183.3 meV/atom
- Symmetry: No. 119
- Total moment: 0.00 μB/f.u.

Lattice parameters (Å, degrees): 5.078 5.078 5.078 137.78 137.78 61.25
Atoms (fractional coordinates):
Zn (0.000, 0.000, 0.000)
As (0.250, 0.750, 0.500)
Rh (0.500, 0.500, 0.000)
Rh (0.750, 0.250, 0.500)

***

# 13
This record from Alexandria via LeMat-Bulk describes a relaxed NbCoH crystal. The functional is GGA-PBE.

## Properties
- Excess energy over the best structure of this formula in the dataset: 111.9 meV/atom
- Symmetry: No. 156
- Total moment: 0.50 μB/f.u.

Lattice parameters (Å, degrees): 2.825 2.825 4.470 90.00 90.00 120.00
Atoms (fractional coordinates):
Nb (0.000, 0.000, 0.000)
Co (0.667, 0.333, 0.482)
H (0.333, 0.667, 0.675)

***

# 14
This record from Alexandria via LeMat-Bulk describes a relaxed Nd4Er2Cd crystal. The functional is GGA-PBE.

## Properties
- Symmetry: No. 12
- Total moment: 0.00 μB/f.u.

Lattice parameters (Å, degrees): 8.560 8.560 8.647 116.74 116.74 23.99
Atoms (fractional coordinates):
Nd (0.083, 0.083, 0.205)
Nd (0.368, 0.368, 0.109)
Nd (0.632, 0.632, 0.891)
Nd (0.917, 0.917, 0.795)
Er (0.217, 0.217, 0.638)
Er (0.783, 0.783, 0.362)
Cd (0.000, 0.000, 0.500)

***

# 15
This record from Alexandria via LeMat-Bulk describes a relaxed LaNdYH crystal. The functional is GGA-PBE.

## Properties
- Symmetry: No. 129
- Total moment: 0.00 μB/f.u.

Lattice parameters (Å, degrees): 4.536 4.536 10.231 90.00 90.00 90.00
Atoms (fractional coordinates):
La (0.250, 0.750, 0.000)
La (0.750, 0.250, 0.000)
Nd (0.250, 0.250, 0.253)
Nd (0.750, 0.750, 0.747)
Y (0.250, 0.250, 0.582)
Y (0.750, 0.750, 0.418)
H (0.250, 0.750, 0.500)
H (0.750, 0.250, 0.500)

***

# 16
This record from Alexandria via LeMat-Bulk describes a relaxed InFe2Se crystal. The functional is GGA-PBE.

## Properties
- Excess energy over the best structure of this formula in the dataset: 0.0 meV/atom
- Energy relative to the elements, uncorrected: 0.07 eV per atom
- Symmetry: No. 99
- Total moment: 4.76 μB/f.u.

Lattice parameters (Å, degrees): 3.192 3.192 6.669 90.00 90.00 90.00
Atoms (fractional coordinates):
In (0.000, 0.000, 0.000)
Fe (0.000, 0.000, 0.567)
Fe (0.500, 0.500, 0.761)
Se (0.500, 0.500, 0.395)

***

# 17
This record from Alexandria via LeMat-Bulk describes a relaxed SrPuTl2Cl8 crystal. The functional is GGA-PBE.

## Properties
- Energy relative to the elements, uncorrected: -1.65 eV per atom
- Symmetry: No. 10
- Total moment: 4.00 μB/f.u.

Lattice parameters (Å, degrees): 7.029 8.763 7.103 90.00 92.37 90.00
Atoms (fractional coordinates):
Sr (0.000, 0.000, 0.000)
Pu (0.000, 0.500, 0.000)
Tl (0.500, 0.247, 0.500)
Tl (0.500, 0.753, 0.500)
Cl (0.200, 0.500, 0.308)
Cl (0.211, 0.276, 0.870)
Cl (0.211, 0.724, 0.870)
Cl (0.255, 0.000, 0.323)
Cl (0.745, 0.000, 0.677)
Cl (0.789, 0.276, 0.130)
Cl (0.789, 0.724, 0.130)
Cl (0.800, 0.500, 0.692)

***

# 18
This record from Alexandria via LeMat-Bulk describes a relaxed SrAc7Sn3 crystal. The functional is GGA-PBE.

## Properties
- Symmetry: No. 12
- Total moment: 0.00 μB/f.u.

Lattice parameters (Å, degrees): 7.367 7.367 9.649 94.91 94.91 117.14
Atoms (fractional coordinates):
Sr (0.000, 0.000, 0.000)
Ac (0.000, 0.000, 0.500)
Ac (0.087, 0.493, 0.795)
Ac (0.377, 0.377, 0.310)
Ac (0.493, 0.087, 0.795)
Ac (0.507, 0.913, 0.205)
Ac (0.623, 0.623, 0.690)
Ac (0.913, 0.507, 0.205)
Sn (0.276, 0.724, 0.500)
Sn (0.500, 0.500, 0.000)
Sn (0.724, 0.276, 0.500)

***

# 19
This record from Alexandria via LeMat-Bulk describes a relaxed CdRhCl2 crystal. The functional is GGA-PBE.

## Properties
- Excess energy over the best structure of this formula in the dataset: 503.0 meV/atom
- Energy relative to the elements, uncorrected: 0.14 eV per atom
- Symmetry: No. 225
- Total moment: 1.16 μB/f.u.

Lattice parameters (Å, degrees): 4.754 4.754 4.754 60.00 60.00 60.00
Atoms (fractional coordinates):
Cd (0.000, 0.000, 0.000)
Rh (0.500, 0.500, 0.500)
Cl (0.250, 0.250, 0.250)
Cl (0.750, 0.750, 0.750)

***

# 20
This record from Alexandria via LeMat-Bulk describes a relaxed Y5Ga2Au crystal. The functional is GGA-PBE.

## Properties
- Symmetry: No. 140
- Total moment: 0.00 μB/f.u.

Lattice parameters (Å, degrees): 9.086 9.086 9.086 131.19 131.19 71.51
Atoms (fractional coordinates):
Y (0.000, 0.000, 0.000)
Y (0.024, 0.524, 0.842)
Y (0.182, 0.024, 0.500)
Y (0.318, 0.818, 0.842)
Y (0.476, 0.318, 0.500)
Y (0.500, 0.500, 0.000)
Y (0.524, 0.682, 0.500)
Y (0.682, 0.182, 0.158)
Y (0.818, 0.976, 0.500)
Y (0.976, 0.476, 0.158)
Ga (0.121, 0.379, 0.500)
Ga (0.379, 0.879, 0.257)
Ga (0.621, 0.121, 0.743)
Ga (0.879, 0.621, 0.500)
Au (0.250, 0.250, 0.000)
Au (0.750, 0.750, 0.000)

***

Calculated raw total energy (eV per atom), listed in the same order as above: -3.132 -5.621 -9.571 -6.022 -4.269 -9.034 -6.244 -1.827 -5.065 -4.420 -4.743 -5.315 -6.849 -4.131 -4.739 -5.715 -4.610 -4.107 -2.850 -5.781
Calculated Fermi-level density of states (states/eV/f.u.), listed in the same order as above: 1.62 14.42 5.96 2.38 9.95 8.92 6.60 2.30 7.46 3.45 3.69 4.02 2.23 9.23 4.60 2.10 5.05 11.91 3.91 6.11
Calculated theoretical density (kg/m³), listed in the same order as above: 5128 5724 11672 12949 5964 5989 6417 9018 6052 7217 12168 9830 8214 7433 5886 7466 3890 7344 6255 6241